No. 1
The following is a GGA-PBEsol calculation of crystalline BaH4O3 at its relaxed geometry, from Alexandria.

Its density of states at the Fermi level is 0.000 states/eV/atom. The value obtained for the total energy is -86.802 eV per cell.

Cell lengths 6.1526, 4.1244, 7.1315 Å; angles 90.00, 114.63, 90.00 degrees
Sites, in units of the cell vectors:
Ba  0.1364  0.2500  0.2867
Ba  0.8636  0.7500  0.7133
H  0.2607  0.2500  0.8801
H  0.3243  0.5521  0.6787
H  0.3243  0.9479  0.6787
H  0.3898  0.7500  0.1248
H  0.6102  0.2500  0.8752
H  0.6757  0.0521  0.3213
H  0.6757  0.4479  0.3213
H  0.7393  0.7500  0.1199
O  0.2139  0.2500  0.7307
O  0.2167  0.7500  0.0840
O  0.3747  0.7500  0.6165
O  0.6253  0.2500  0.3835
O  0.7833  0.2500  0.9160
O  0.7861  0.7500  0.2693



No. 2
The following is a GGA-PBEsol calculation of crystalline TcHg2Cl at its relaxed geometry, from Alexandria.

Its density of states at the Fermi level is 0.373 states/eV/atom. The calculation puts the formation energy (no corrections) at 0.27 eV/atom. The value obtained for the total energy is -13.314 eV per cell.

Cell lengths 2.9301, 2.9301, 9.2245 Å; angles 90.00, 90.00, 90.00 degrees
Sites, in units of the cell vectors:
Tc  0.0000  0.0000  0.0000
Hg  0.0000  0.0000  0.4734
Hg  0.5000  0.5000  0.7651
Cl  0.5000  0.5000  0.1310



No. 3
The following is a GGA-PBEsol calculation of crystalline TlAsIr2 at its relaxed geometry, from Alexandria.

Its density of states at the Fermi level is 0.433 states/eV/atom. The value obtained for the total energy is -26.234 eV per cell.

Cell lengths 2.9934, 3.0273, 7.5833 Å; angles 90.00, 100.01, 90.00 degrees
Sites, in units of the cell vectors:
Tl  0.0000  0.0000  0.0000
As  0.5000  0.0000  0.5000
Ir  0.0837  0.5000  0.6976
Ir  0.9163  0.5000  0.3024



No. 4
The following is a GGA-PBEsol calculation of crystalline CdNi8 at its relaxed geometry, from Alexandria.

Its density of states at the Fermi level is 1.919 states/eV/atom. The value obtained for the total energy is -49.768 eV per cell.

Cell lengths 5.6305, 5.6305, 5.6305 Å; angles 95.69, 95.69, 143.30 degrees
Sites, in units of the cell vectors:
Cd  0.0000  0.0000  0.0000
Ni  0.0000  0.3414  0.3414
Ni  0.0000  0.6586  0.6586
Ni  0.3237  0.3237  0.6475
Ni  0.3237  0.6763  0.0000
Ni  0.3414  0.0000  0.3414
Ni  0.6586  0.0000  0.6586
Ni  0.6763  0.3237  0.0000
Ni  0.6763  0.6763  0.3525



No. 5
The following is a GGA-PBEsol calculation of crystalline FeTeSe2 at its relaxed geometry, from Alexandria.

Its density of states at the Fermi level is 0.733 states/eV/atom. The calculation puts the formation energy (no corrections) at -0.02 eV/atom. The value obtained for the total energy is -40.557 eV per cell.

Cell lengths 11.1591, 3.3695, 4.9645 Å; angles 90.00, 114.40, 90.00 degrees
Sites, in units of the cell vectors:
Fe  0.0000  0.0000  0.0000
Fe  0.5000  0.5000  0.0000
Te  0.1624  0.5000  0.3460
Te  0.6624  0.0000  0.3460
Se  0.0112  0.5000  0.6907
Se  0.3639  0.0000  0.0492
Se  0.5112  0.0000  0.6907
Se  0.8639  0.5000  0.0492



No. 6
The following is a GGA-PBEsol calculation of crystalline H2Ru2O at its relaxed geometry, from Alexandria.

Its density of states at the Fermi level is 0.694 states/eV/atom. The value obtained for the total energy is -59.893 eV per cell.

Cell lengths 5.3223, 5.3223, 2.7095 Å; angles 90.00, 90.00, 90.00 degrees
Sites, in units of the cell vectors:
H  0.1237  0.3763  0.0000
H  0.3763  0.8763  0.0000
H  0.6237  0.1237  0.0000
H  0.8763  0.6237  0.0000
Ru  0.1920  0.6920  0.5000
Ru  0.3080  0.1920  0.5000
Ru  0.6920  0.8080  0.5000
Ru  0.8080  0.3080  0.5000
O  0.0000  0.0000  0.0000
O  0.5000  0.5000  0.0000



No. 7
The following is a GGA-PBEsol calculation of crystalline BaHfAs2I at its relaxed geometry, from Alexandria.

Its density of states at the Fermi level is 1.033 states/eV/atom. The calculation puts the formation energy (no corrections) at 0.60 eV/atom. The value obtained for the total energy is -21.649 eV per cell.

Cell lengths 5.5904, 5.5904, 5.1543 Å; angles 90.00, 90.00, 90.00 degrees
Sites, in units of the cell vectors:
Ba  0.0000  0.0000  0.0000
Hf  0.5000  0.5000  0.0000
As  0.0000  0.5000  0.5000
As  0.5000  0.0000  0.5000
I  0.5000  0.5000  0.5000



No. 8
The following is a GGA-PBEsol calculation of crystalline Mg2RhAu at its relaxed geometry, from Alexandria.

Its density of states at the Fermi level is 0.301 states/eV/atom. The value obtained for the total energy is -17.646 eV per cell.

Cell lengths 3.2398, 3.2398, 6.0103 Å; angles 90.00, 90.00, 90.00 degrees
Sites, in units of the cell vectors:
Mg  0.0000  0.0000  0.2353
Mg  0.0000  0.0000  0.7647
Rh  0.5000  0.5000  0.0000
Au  0.5000  0.5000  0.5000